No. 1
The following is a meta-GGA SCAN calculation of a crystal of TaBe2Tl relaxed with PBEsol, from Alexandria via LeMat-Bulk.

Results
- Calculated density: 10.9 Mg/m³
- E_tot: -145.78 eV for the cell shown

Cell: 2.9332 2.9332 7.1690 Å, 90.00 90.00 90.00°
Element x y z (fractional)
Ta1 0.0000 0.0000 0.0000
Be1 0.5000 0.5000 0.2163
Be2 0.5000 0.5000 0.7837
Tl1 0.0000 0.0000 0.5000

No. 2
The following is a meta-GGA SCAN calculation of a crystal of BaTa3Be relaxed with PBEsol, from Alexandria via LeMat-Bulk.

Results
- Calculated density: 11.5 Mg/m³
- E_tot: -236.94 eV for the cell shown

Cell: 4.6340 4.6340 4.6340 Å, 90.00 90.00 90.00°
Element x y z (fractional)
Ba1 0.0000 0.0000 0.0000
Ta1 0.0000 0.5000 0.5000
Ta2 0.5000 0.0000 0.5000
Ta3 0.5000 0.5000 0.0000
Be1 0.5000 0.5000 0.5000

No. 3
The following is a meta-GGA SCAN calculation of a crystal of Sr2CaLa relaxed with PBEsol, from Alexandria via LeMat-Bulk.

Results
- Calculated density: 3.4 Mg/m³
- E_tot: -96.94 eV for the cell shown

Cell: 3.9742 3.9742 11.0638 Å, 90.00 90.00 90.00°
Element x y z (fractional)
Sr1 0.0000 0.0000 0.0000
Sr2 0.5000 0.5000 0.2819
Ca1 0.0000 0.0000 0.5367
La1 0.5000 0.5000 0.7552

No. 4
The following is a meta-GGA SCAN calculation of a crystal of MgNiIr relaxed with PBEsol, from Alexandria via LeMat-Bulk.

Results
- Calculated density: 11.4 Mg/m³
- E_tot: -92.31 eV for the cell shown

Cell: 4.2323 4.2323 2.5887 Å, 90.00 90.00 120.00°
Element x y z (fractional)
Mg1 0.0000 0.0000 0.0000
Ni1 0.3333 0.6667 0.0499
Ir1 0.6667 0.3333 0.5280

No. 5
The following is a meta-GGA SCAN calculation of a crystal of TlMo3N relaxed with PBEsol, from Alexandria via LeMat-Bulk.

Results
- Formation energy (no corrections): 85.92 kcal/mol of atoms
- Calculated density: 7.1 Mg/m³

Cell: 4.9194 4.9194 4.9194 Å, 90.00 90.00 90.00°
Element x y z (fractional)
Tl1 0.0000 0.0000 0.0000
Mo1 0.0000 0.0000 0.5000
Mo2 0.0000 0.5000 0.0000
Mo3 0.5000 0.0000 0.0000
N1 0.5000 0.5000 0.5000

No. 6
The following is a meta-GGA SCAN calculation of a crystal of Hg2IrRu relaxed with PBEsol, from Alexandria via LeMat-Bulk.

Results
- Calculated density: 17.4 Mg/m³
- E_tot: -239.15 eV for the cell shown

Cell: 4.5413 4.5413 3.2164 Å, 90.00 90.00 90.00°
Element x y z (fractional)
Hg1 0.0000 0.5000 0.0000
Hg2 0.5000 0.0000 0.0000
Ir1 0.0000 0.0000 0.5000
Ru1 0.5000 0.5000 0.5000

No. 7
The following is a meta-GGA SCAN calculation of a crystal of BaGd2S4 relaxed with PBEsol, from Alexandria via LeMat-Bulk.

Results
- Formation energy (no corrections): -55.06 kcal/mol of atoms
- Calculated density: 5.4 Mg/m³

Cell: 12.0758 4.0541 14.4742 Å, 90.00 90.00 90.00°
Element x y z (fractional)
Ba1 0.2456 0.2500 0.1602
Ba2 0.2544 0.7500 0.6602
Ba3 0.7456 0.2500 0.3398
Ba4 0.7544 0.7500 0.8398
Gd1 0.0748 0.2500 0.3929
Gd2 0.0760 0.2500 0.8967
Gd3 0.4240 0.7500 0.3967
Gd4 0.4252 0.7500 0.8929
Gd5 0.5748 0.2500 0.1071
Gd6 0.5760 0.2500 0.6033
Gd7 0.9240 0.7500 0.1033
Gd8 0.9252 0.7500 0.6071
S1 0.0175 0.7500 0.7823
S2 0.0770 0.2500 0.5798
S3 0.1291 0.7500 0.0207
S4 0.2106 0.7500 0.3304
S5 0.2894 0.2500 0.8304
S6 0.3709 0.2500 0.5207
S7 0.4230 0.7500 0.0798
S8 0.4825 0.2500 0.2823
S9 0.5175 0.7500 0.7177
S10 0.5770 0.2500 0.9202
S11 0.6291 0.7500 0.4793
S12 0.7106 0.7500 0.1696
S13 0.7894 0.2500 0.6696
S14 0.8709 0.2500 0.9793
S15 0.9230 0.7500 0.4202
S16 0.9825 0.2500 0.2177

No. 8
The following is a meta-GGA SCAN calculation of a crystal of ZrCoRh2 relaxed with PBEsol, from Alexandria via LeMat-Bulk.

Results
- Calculated density: 10.2 Mg/m³
- E_tot: -116.86 eV for the cell shown

Cell: 3.2220 3.2220 5.5898 Å, 90.00 90.00 90.00°
Element x y z (fractional)
Zr1 0.0000 0.0000 0.0000
Co1 0.5000 0.5000 0.2777
Rh1 0.0000 0.0000 0.4570
Rh2 0.5000 0.5000 0.7358

No. 9
The following is a meta-GGA SCAN calculation of a crystal of AgOsBr relaxed with PBEsol, from Alexandria via LeMat-Bulk.

Results
- Formation energy (no corrections): 45.25 kcal/mol of atoms
- Calculated density: 11.1 Mg/m³

Cell: 4.3102 4.3102 4.3102 Å, 60.00 60.00 60.00°
Element x y z (fractional)
Ag1 0.0000 0.0000 0.0000
Os1 0.5000 0.5000 0.5000
Br1 0.7500 0.7500 0.7500

No. 10
The following is a meta-GGA SCAN calculation of a crystal of Sr5B3ClO9 relaxed with PBEsol, from Alexandria via LeMat-Bulk.

Results
- Formation energy (no corrections): -71.64 kcal/mol of atoms
- Calculated density: 4.1 Mg/m³

Cell: 8.6603 8.6603 7.3721 Å, 90.00 90.00 109.68°
Element x y z (fractional)
Sr1 0.1346 0.8654 0.7500
Sr2 0.1378 0.8622 0.2500
Sr3 0.2394 0.4956 0.4368
Sr4 0.2616 0.2616 0.0000
Sr5 0.4956 0.2394 0.5632
Sr6 0.5044 0.7606 0.0632
Sr7 0.7384 0.7384 0.5000
Sr8 0.7606 0.5044 0.9368
Sr9 0.8622 0.1378 0.7500
Sr10 0.8654 0.1346 0.2500
B1 0.0899 0.5149 0.0290
B2 0.1302 0.1302 0.5000
B3 0.4851 0.9101 0.4710
B4 0.5149 0.0899 0.9710
B5 0.8698 0.8698 0.0000
B6 0.9101 0.4851 0.5290
Cl1 0.4487 0.5513 0.7500
Cl2 0.5513 0.4487 0.2500
O1 0.0098 0.0098 0.0000
O2 0.0226 0.6406 0.4898
O3 0.0531 0.6547 0.9871
O4 0.1966 0.1969 0.3357
O5 0.1969 0.1966 0.6643
O6 0.2362 0.5292 0.1138
O7 0.3453 0.9469 0.5129
O8 0.3594 0.9774 0.0102
O9 0.4708 0.7638 0.3862
O10 0.5292 0.2362 0.8862
O11 0.6406 0.0226 0.5102
O12 0.6547 0.0531 0.0129
O13 0.7638 0.4708 0.6138
O14 0.8031 0.8034 0.1643
O15 0.8034 0.8031 0.8357
O16 0.9469 0.3453 0.4871
O17 0.9774 0.3594 0.9898
O18 0.9902 0.9902 0.5000

No. 11
The following is a meta-GGA SCAN calculation of a crystal of ZrIn2Mo relaxed with PBEsol, from Alexandria via LeMat-Bulk.

Results
- Calculated density: 9.0 Mg/m³
- E_tot: -132.58 eV for the cell shown

Cell: 3.8687 4.3691 4.5464 Å, 90.00 90.00 90.00°
Element x y z (fractional)
Zr1 0.0000 0.0000 0.0000
In1 0.0000 0.5000 0.5000
In2 0.5000 0.0000 0.5000
Mo1 0.5000 0.5000 0.0000

No. 12
The following is a meta-GGA SCAN calculation of a crystal of KBa3 relaxed with PBEsol, from Alexandria via LeMat-Bulk.

Results
- Calculated density: 3.1 Mg/m³
- E_tot: -126.66 eV for the cell shown

Cell: 4.9527 4.9527 10.0113 Å, 90.00 90.00 90.00°
Element x y z (fractional)
K1 0.0000 0.0000 0.0000
Ba1 0.0000 0.0000 0.5000
Ba2 0.5000 0.5000 0.2604
Ba3 0.5000 0.5000 0.7396

No. 13
The following is a meta-GGA SCAN calculation of a crystal of NaLa2AlC relaxed with PBEsol, from Alexandria via LeMat-Bulk.

Results
- Calculated density: 4.8 Mg/m³
- E_tot: -108.25 eV for the cell shown

Cell: 5.3573 5.3573 4.1047 Å, 90.00 90.00 90.00°
Element x y z (fractional)
Na1 0.0000 0.0000 0.0000
La1 0.0000 0.5000 0.5000
La2 0.5000 0.0000 0.5000
Al1 0.5000 0.5000 0.0000
C1 0.5000 0.5000 0.5000

No. 14
The following is a meta-GGA SCAN calculation of a crystal of BaNbHgAs2 relaxed with PBEsol, from Alexandria via LeMat-Bulk.

Results
- Calculated density: 6.5 Mg/m³
- E_tot: -178.60 eV for the cell shown

Cell: 5.3138 5.3138 5.2208 Å, 90.00 90.00 90.00°
Element x y z (fractional)
Ba1 0.0000 0.0000 0.0000
Nb1 0.5000 0.5000 0.0000
Hg1 0.5000 0.5000 0.5000
As1 0.0000 0.5000 0.5000
As2 0.5000 0.0000 0.5000

No. 15
The following is a meta-GGA SCAN calculation of a crystal of ReSe2N2 relaxed with PBEsol, from Alexandria via LeMat-Bulk.

Results
- Formation energy (no corrections): 30.55 kcal/mol of atoms
- Calculated density: 6.9 Mg/m³

Cell: 4.9140 4.9140 3.7096 Å, 90.00 90.00 90.00°
Element x y z (fractional)
Re1 0.0000 0.0000 0.0000
Se1 0.0000 0.5000 0.0000
Se2 0.5000 0.0000 0.0000
N1 0.0000 0.0000 0.5000
N2 0.5000 0.5000 0.5000

No. 16
The following is a meta-GGA SCAN calculation of a crystal of Be2PbSF relaxed with PBEsol, from Alexandria via LeMat-Bulk.

Results
- Formation energy (no corrections): 17.76 kcal/mol of atoms
- Calculated density: 4.0 Mg/m³

Cell: 4.6685 4.6685 5.2380 Å, 90.00 90.00 90.00°
Element x y z (fractional)
Be1 0.0000 0.5000 0.0000
Be2 0.5000 0.0000 0.0000
Pb1 0.0000 0.0000 0.0000
S1 0.0000 0.0000 0.5000
F1 0.5000 0.5000 0.5000

No. 17
The following is a meta-GGA SCAN calculation of a crystal of ZnNiAu2 relaxed with PBEsol, from Alexandria via LeMat-Bulk.

Results
- Calculated density: 15.0 Mg/m³
- E_tot: -168.39 eV for the cell shown

Cell: 2.8626 2.8626 6.9982 Å, 90.00 90.00 90.00°
Element x y z (fractional)
Zn1 0.0000 0.0000 0.0000
Ni1 0.5000 0.5000 0.8020
Au1 0.0000 0.0000 0.5584
Au2 0.5000 0.5000 0.2572

No. 18
The following is a meta-GGA SCAN calculation of a crystal of Li2LaZr relaxed with PBEsol, from Alexandria via LeMat-Bulk.

Results
- Calculated density: 4.4 Mg/m³
- E_tot: -153.22 eV for the cell shown

Cell: 6.3543 6.3543 6.3543 Å, 101.93 101.93 125.91°
Element x y z (fractional)
Li1 0.1119 0.1250 0.4869
Li2 0.3750 0.8881 0.0131
Li3 0.6381 0.6250 0.5131
Li4 0.8750 0.3619 0.9869
La1 0.2500 0.7500 0.5000
La2 0.5000 0.5000 0.0000
Zr1 0.0000 0.0000 0.0000
Zr2 0.7500 0.2500 0.5000

No. 19
The following is a meta-GGA SCAN calculation of a crystal of AlFe2Co relaxed with PBEsol, from Alexandria via LeMat-Bulk.

Results
- Calculated density: 7.4 Mg/m³
- E_tot: -62.25 eV for the cell shown

Cell: 2.8124 2.8124 5.5882 Å, 90.00 90.00 90.00°
Element x y z (fractional)
Al1 0.0000 0.0000 0.0000
Fe1 0.0000 0.0000 0.5034
Fe2 0.5000 0.5000 0.7348
Co1 0.5000 0.5000 0.2581

No. 20
The following is a meta-GGA SCAN calculation of a crystal of Li5VP2O9 relaxed with PBEsol, from Alexandria via LeMat-Bulk.

Results
- Formation energy (no corrections): -59.82 kcal/mol of atoms
- Calculated density: 3.0 Mg/m³

Cell: 7.5675 7.5675 7.5675 Å, 105.31 105.31 118.16°
Element x y z (fractional)
Li1 0.0263 0.2500 0.7763
Li2 0.2500 0.0263 0.7763
Li3 0.2500 0.4737 0.2237
Li4 0.2500 0.7500 0.5000
Li5 0.4737 0.2500 0.2237
Li6 0.5263 0.7500 0.7763
Li7 0.7500 0.2500 0.5000
Li8 0.7500 0.5263 0.7763
Li9 0.7500 0.9737 0.2237
Li10 0.9737 0.7500 0.2237
V1 0.0000 0.0000 0.0000
V2 0.5000 0.5000 0.0000
P1 0.2094 0.7094 0.9187
P2 0.2906 0.2094 0.5000
P3 0.7094 0.7906 0.5000
P4 0.7906 0.2906 0.0813
O1 0.0209 0.5209 0.2171
O2 0.1224 0.1837 0.3061
O3 0.1837 0.8776 0.0613
O4 0.1962 0.9791 0.5000
O5 0.2500 0.2500 0.0000
O6 0.3038 0.8038 0.7829
O7 0.3163 0.3776 0.6939
O8 0.3776 0.6837 0.0613
O9 0.4791 0.6962 0.5000
O10 0.5209 0.3038 0.5000
O11 0.6224 0.3163 0.9387
O12 0.6837 0.6224 0.3061
O13 0.6962 0.1962 0.2171
O14 0.7500 0.7500 0.0000
O15 0.8038 0.0209 0.5000
O16 0.8163 0.1224 0.9387
O17 0.8776 0.8163 0.6939
O18 0.9791 0.4791 0.7829